The following is a PBE-GGA calculation of crystalline LiPuAlSn at its relaxed geometry, from Alexandria.

a = 7.108 Å, b = 7.108 Å, c = 7.108 Å
α = 90.00°, β = 90.00°, γ = 90.00°
Space group F-43m (No. 216)
Inequivalent atoms, fractional coordinates:
Li: 0.000 0.000 0.000 (multiplicity 4)
Pu: 0.000 0.000 0.500 (multiplicity 4)
Al: 0.250 0.250 0.250 (multiplicity 4)
Sn: 0.250 0.250 0.750 (multiplicity 4)

Properties
- N(E_F): 40.446 states/eV per cell
- Calculated total energy: -6.174 eV/atom
- E_form: -0.18 eV/atom